1.
# VCr5C2 PBE-GGA relaxed
data_VCr5C2
_cell_length_a 2.9528
_cell_length_b 6.6296
_cell_length_c 8.3773
_cell_angle_alpha 90.00
_cell_angle_beta 90.00
_cell_angle_gamma 90.00
_symmetry_space_group_name_H-M 'I m m m'
_symmetry_Int_Tables_number 71
_symmetry_space_group_name_Hall '-I 2 2'
loop_
_atom_site_label
_atom_site_type_symbol
_atom_site_fract_x
_atom_site_fract_y
_atom_site_fract_z
_atom_site_occupancy
V1 V 0.0000 0.0000 0.0000 1
Cr1 Cr 0.0000 0.1921 0.3414 1
Cr2 Cr 0.0000 0.5000 0.0000 1
C1 C 0.0000 0.5000 0.2639 1
# Energy relative to the elements, eV per atom: 0.14

=====

2.
# LiPm6Se5 PBE-GGA relaxed
data_LiPm6Se5
_cell_length_a 7.0420
_cell_length_b 7.0420
_cell_length_c 14.7187
_cell_angle_alpha 90.00
_cell_angle_beta 90.00
_cell_angle_gamma 120.00
_symmetry_space_group_name_H-M 'P 63/m c m'
_symmetry_Int_Tables_number 193
_symmetry_space_group_name_Hall '-P 6c 2'
loop_
_atom_site_label
_atom_site_type_symbol
_atom_site_fract_x
_atom_site_fract_y
_atom_site_fract_z
_atom_site_occupancy
Li1 Li 0.0000 0.0000 0.2500 1
Pm1 Pm 0.0000 0.3334 0.1155 1
Se1 Se 0.0000 0.3415 0.7500 1
Se2 Se 0.3333 0.6667 0.0000 1
# Formation energy from raw total energies, eV per atom: -1.45

=====

3.
# LiH2Cl PBE-GGA relaxed
data_LiH2Cl
_cell_length_a 5.3949
_cell_length_b 5.3949
_cell_length_c 5.3949
_cell_angle_alpha 90.00
_cell_angle_beta 90.00
_cell_angle_gamma 90.00
_symmetry_space_group_name_H-M 'F m -3 m'
_symmetry_Int_Tables_number 225
_symmetry_space_group_name_Hall '-F 4 2 3'
loop_
_atom_site_label
_atom_site_type_symbol
_atom_site_fract_x
_atom_site_fract_y
_atom_site_fract_z
_atom_site_occupancy
Li1 Li 0.0000 0.0000 0.0000 1
H1 H 0.2500 0.2500 0.2500 1
Cl1 Cl 0.0000 0.0000 0.5000 1
# Relative energy among the computed polymorphs, meV/atom: 1227

=====

4.
# SiIrPb2S PBE-GGA relaxed
data_SiIrPb2S
_cell_length_a 5.3784
_cell_length_b 5.3784
_cell_length_c 4.3566
_cell_angle_alpha 90.00
_cell_angle_beta 90.00
_cell_angle_gamma 90.00
_symmetry_space_group_name_H-M 'P 4/m m m'
_symmetry_Int_Tables_number 123
_symmetry_space_group_name_Hall '-P 4 2'
loop_
_atom_site_label
_atom_site_type_symbol
_atom_site_fract_x
_atom_site_fract_y
_atom_site_fract_z
_atom_site_occupancy
Si1 Si 0.0000 0.0000 0.0000 1
Ir1 Ir 0.5000 0.5000 0.0000 1
Pb1 Pb 0.0000 0.5000 0.5000 1
S1 S 0.0000 0.0000 0.5000 1
# Formation energy from raw total energies, eV per atom: 0.99

=====

Sequential total moment output: 0.00 0.00 0.00 0.00 Bohr magnetons per cell
Sequential DFT total energy output: -9.3243 -5.4407 -2.2714 -4.1778 eV/atom